# 1
VASP calculation (PBE) on crystalline PaCoH3 at its relaxed geometry.

Output
Excess energy over the best structure of this formula in the dataset: 0.064 eV/atom

a = 3.5216 Å, b = 3.5216 Å, c = 3.5216 Å
α = 90.00°, β = 90.00°, γ = 90.00°
Last column: nearest neighbours and their distance in Å.
Positions (direct):
Pa (0.0000, 0.0000, 0.0000)  12 H 2.49
Co (0.5000, 0.5000, 0.5000)  6 H 1.76
H (0.0000, 0.5000, 0.5000)  2 Co 1.76
H (0.5000, 0.0000, 0.5000)  2 Co 1.76
H (0.5000, 0.5000, 0.0000)  2 Co 1.76

***

# 2
VASP calculation (PBE) on crystalline CdTcAs at its relaxed geometry.

Output
Energy of formation from the pure elements: -18.7 meV per atom
Excess energy over the best structure of this formula in the dataset: 0.017 eV/atom

a = 3.0330 Å, b = 4.5762 Å, c = 8.6172 Å
α = 90.00°, β = 99.92°, γ = 90.00°
Last column: nearest neighbours and their distance in Å.
Positions (direct):
Cd (0.0000, 0.0000, 0.0000)  6 Cd 3.03-3.23, 2 As 3.08, 1 Tc 3.12
Cd (0.3940, 0.5000, 0.8027)  6 Cd 3.03-3.23, 2 Tc 3.15-3.18, 4 As 3.24-3.26
Tc (0.1720, 0.0000, 0.3676)  4 As 2.47-2.52
Tc (0.7250, 0.5000, 0.4757)  4 As 2.49-2.51
As (0.1111, 0.5000, 0.2430)  4 Tc 2.49-2.52
As (0.7843, 0.0000, 0.5974)  4 Tc 2.47-2.51

***

# 3
VASP calculation (PBE) on crystalline ScNi2Os at its relaxed geometry.

Output
Energy of formation from the pure elements: -153.2 meV per atom
Excess energy over the best structure of this formula in the dataset: 0.004 eV/atom

a = 3.8755 Å, b = 3.8755 Å, c = 3.6569 Å
α = 90.00°, β = 90.00°, γ = 90.00°
Last column: nearest neighbours and their distance in Å.
Positions (direct):
Sc (0.0000, 0.0000, 0.0000)  8 Ni 2.66, 4 Os 2.74
Ni (0.0000, 0.5000, 0.5000)  4 Sc 2.66, 4 Os 2.66, 4 Ni 2.74
Ni (0.5000, 0.0000, 0.5000)  4 Sc 2.66, 4 Os 2.66, 4 Ni 2.74
Os (0.5000, 0.5000, 0.0000)  8 Ni 2.66, 4 Sc 2.74

***

# 4
VASP calculation (PBE) on crystalline HfMoSe2N at its relaxed geometry.

Output
Excess energy over the best structure of this formula in the dataset: 0.000 eV/atom
Formation energy from raw total energies: 0.10 eV/atom

a = 5.0726 Å, b = 5.0726 Å, c = 3.7435 Å
α = 90.00°, β = 90.00°, γ = 90.00°
Last column: nearest neighbours and their distance in Å.
Positions (direct):
Hf (0.0000, 0.0000, 0.0000)  8 Se 3.15
Mo (0.5000, 0.5000, 0.5000)  2 N 1.87
Se (0.0000, 0.5000, 0.5000)  2 Mo 2.54
Se (0.5000, 0.0000, 0.5000)  2 Mo 2.54
N (0.5000, 0.5000, 0.0000)  2 Mo 1.87

***

# 5
VASP calculation (PBE) on crystalline Cd2In6Hg3 at its relaxed geometry.

Output
Energy of formation from the pure elements: 32.7 meV per atom
Excess energy over the best structure of this formula in the dataset: 0.008 eV/atom

a = 14.4484 Å, b = 14.4484 Å, c = 14.4484 Å
α = 19.52°, β = 19.52°, γ = 19.52°
Last column: nearest neighbours and their distance in Å.
Positions (direct):
Cd (0.0439, 0.0439, 0.0439)  6 In 3.06-3.10
Cd (0.9561, 0.9561, 0.9561)  6 In 3.06-3.10
In (0.1352, 0.1352, 0.1352)  6 Hg 3.11-3.13
In (0.3168, 0.3168, 0.3168)  3 Cd 3.06, 3 In 3.16
In (0.4069, 0.4069, 0.4069)  3 Cd 3.10, 3 Hg 3.13
In (0.5931, 0.5931, 0.5931)  3 Cd 3.10, 3 Hg 3.13
In (0.6832, 0.6832, 0.6832)  3 Cd 3.06, 3 In 3.16
In (0.8648, 0.8648, 0.8648)  6 Hg 3.11-3.13
Hg (0.2284, 0.2284, 0.2284)  6 In 3.11-3.13
Hg (0.5000, 0.5000, 0.5000)  6 In 3.13
Hg (0.7716, 0.7716, 0.7716)  6 In 3.11-3.13

***

# 6
VASP calculation (PBE) on crystalline CaSiRu3 at its relaxed geometry.

Output
Excess energy over the best structure of this formula in the dataset: 2.089 eV/atom
Formation energy from raw total energies: 2.35 eV/atom

a = 4.6766 Å, b = 4.6766 Å, c = 4.6766 Å
α = 90.00°, β = 90.00°, γ = 90.00°
Last column: nearest neighbours and their distance in Å.
Positions (direct):
Ca (0.0000, 0.0000, 0.0000)  6 Ru 2.34
Si (0.5000, 0.5000, 0.5000)  12 Ru 3.31
Ru (0.0000, 0.0000, 0.5000)  2 Ca 2.34
Ru (0.0000, 0.5000, 0.0000)  2 Ca 2.34
Ru (0.5000, 0.0000, 0.0000)  2 Ca 2.34

***

# 7
VASP calculation (PBE) on crystalline Rb2ScCuF6 at its relaxed geometry.

Output
Formation energy from raw total energies: -2.92 eV/atom

a = 6.1042 Å, b = 6.1042 Å, c = 6.1042 Å
α = 115.23°, β = 115.23°, γ = 98.48°
Last column: nearest neighbours and their distance in Å.
Positions (direct):
Rb (0.2500, 0.7500, 0.5000)  12 F 3.07-3.27
Rb (0.7500, 0.2500, 0.5000)  12 F 3.07-3.27
Sc (0.0000, 0.0000, 0.0000)  6 F 2.02-2.07
Cu (0.5000, 0.5000, 0.0000)  2 F 1.92
F (0.2185, 0.2185, 0.4370)  1 Sc 2.02
F (0.2185, 0.7815, 0.0000)  1 Sc 2.02
F (0.2593, 0.2593, 0.0000)  1 Cu 1.92, 1 Sc 2.07
F (0.7407, 0.7407, 0.0000)  1 Cu 1.92, 1 Sc 2.07
F (0.7815, 0.2185, 0.0000)  1 Sc 2.02
F (0.7815, 0.7815, 0.5630)  1 Sc 2.02

***

# 8
VASP calculation (PBE) on crystalline Nd6Tm5 at its relaxed geometry.

Output
Energy of formation from the pure elements: 122.5 meV per atom
Excess energy over the best structure of this formula in the dataset: 0.013 eV/atom

a = 8.3961 Å, b = 8.3961 Å, c = 6.0403 Å
α = 105.51°, β = 105.51°, γ = 104.92°
Last column: nearest neighbours and their distance in Å.
Positions (direct):
Nd (0.0455, 0.3283, 0.6202)  6 Tm 3.44-3.78, 5 Nd 3.44-3.77
Nd (0.1849, 0.1849, 0.1012)  5 Nd 3.43-3.65, 5 Tm 3.51-3.55
Nd (0.3283, 0.0455, 0.6202)  6 Tm 3.44-3.78, 5 Nd 3.44-3.77
Nd (0.6717, 0.9545, 0.3798)  6 Tm 3.44-3.78, 5 Nd 3.44-3.77
Nd (0.8151, 0.8151, 0.8988)  5 Nd 3.43-3.65, 5 Tm 3.51-3.55
Nd (0.9545, 0.6717, 0.3798)  6 Tm 3.44-3.78, 5 Nd 3.44-3.77
Tm (0.2332, 0.7668, 0.0000)  8 Nd 3.44-3.78, 3 Tm 3.54-3.55
Tm (0.3713, 0.6287, 0.5000)  5 Tm 3.43-3.54, 6 Nd 3.51-3.59
Tm (0.5000, 0.5000, 0.0000)  6 Tm 3.47-3.55, 6 Nd 3.54-3.55
Tm (0.6287, 0.3713, 0.5000)  5 Tm 3.43-3.54, 6 Nd 3.51-3.59
Tm (0.7668, 0.2332, 0.0000)  8 Nd 3.44-3.78, 3 Tm 3.54-3.55

***

# 9
VASP calculation (PBE) on crystalline LiCu2SbPt at its relaxed geometry.

Output
Formation energy from raw total energies: 0.35 eV/atom

a = 4.8439 Å, b = 4.8439 Å, c = 5.0561 Å
α = 90.00°, β = 90.00°, γ = 90.00°
Last column: nearest neighbours and their distance in Å.
Positions (direct):
Li (0.0000, 0.0000, 0.0000)  4 Pt 3.43, 8 Cu 3.50
Cu (0.0000, 0.5000, 0.5000)  2 Sb 2.42
Cu (0.5000, 0.0000, 0.5000)  2 Sb 2.42
Sb (0.5000, 0.5000, 0.5000)  4 Cu 2.42, 2 Pt 2.53
Pt (0.5000, 0.5000, 0.0000)  2 Sb 2.53

***

# 10
VASP calculation (PBE) on crystalline LiY3Cr at its relaxed geometry.

Output
Energy of formation from the pure elements: 406.3 meV per atom
Excess energy over the best structure of this formula in the dataset: 0.000 eV/atom

a = 5.3663 Å, b = 5.3663 Å, c = 5.3663 Å
α = 90.00°, β = 90.00°, γ = 90.00°
Last column: nearest neighbours and their distance in Å.
Positions (direct):
Li (0.0000, 0.0000, 0.0000)  12 Y 3.79
Y (0.0000, 0.5000, 0.5000)  2 Cr 2.68
Y (0.5000, 0.0000, 0.5000)  2 Cr 2.68
Y (0.5000, 0.5000, 0.0000)  2 Cr 2.68
Cr (0.5000, 0.5000, 0.5000)  6 Y 2.68

***

# 11
VASP calculation (PBE) on crystalline KIrRu at its relaxed geometry.

Output
Energy of formation from the pure elements: 447.5 meV per atom
Excess energy over the best structure of this formula in the dataset: 0.006 eV/atom

a = 5.2712 Å, b = 4.0790 Å, c = 6.6851 Å
α = 90.00°, β = 101.61°, γ = 90.00°
Last column: nearest neighbours and their distance in Å.
Positions (direct):
K (0.0000, 0.0000, 0.0000)  4 Ir 3.28-3.52, 4 K 3.41-3.46, 3 Ru 3.48-3.55
K (0.4612, 0.5000, 0.8723)  4 Ir 3.27-3.53, 4 K 3.41-3.46, 3 Ru 3.48-3.55
Ir (0.1184, 0.0000, 0.5001)  4 Ru 2.56-2.66, 2 Ir 2.58
Ir (0.3406, 0.5000, 0.3722)  4 Ru 2.56-2.66, 2 Ir 2.58
Ru (0.6222, 0.0000, 0.4956)  2 Ru 2.54, 4 Ir 2.56-2.66
Ru (0.8369, 0.5000, 0.3766)  2 Ru 2.54, 4 Ir 2.56-2.66

***

# 12
VASP calculation (PBE) on crystalline PmY5Er2Th at its relaxed geometry.

Output
Energy of formation from the pure elements: 161.2 meV per atom

a = 11.0287 Å, b = 11.0287 Å, c = 9.7469 Å
α = 90.00°, β = 90.00°, γ = 149.79°
Last column: nearest neighbours and their distance in Å.
Positions (direct):
Pm (0.0964, 0.9036, 0.5000)  2 Y 3.04-3.18
Pm (0.9036, 0.0964, 0.0000)  2 Y 3.04-3.18
Y (0.0279, 0.9721, 0.8187)  2 Pm 3.18-3.43, 1 Y 3.37, 2 Er 3.48
Y (0.1108, 0.8892, 0.1128)  4 Er 3.36-3.56, 3 Y 3.37-3.65
Y (0.1957, 0.8043, 0.7874)  2 Th 3.41, 5 Y 3.47-3.75, 1 Pm 3.51, 3 Er 3.55-3.70
Y (0.2335, 0.7665, 0.4121)  1 Pm 3.04, 1 Er 3.29
Y (0.4863, 0.5137, 0.0902)  3 Er 3.27-3.66, 2 Pm 3.48, 2 Y 3.65
Y (0.5137, 0.4863, 0.5902)  3 Er 3.27-3.66, 2 Pm 3.48, 2 Y 3.65
Y (0.7665, 0.2335, 0.9121)  1 Pm 3.04, 1 Er 3.29
Y (0.8043, 0.1957, 0.2874)  2 Th 3.41, 5 Y 3.47-3.75, 1 Pm 3.51, 3 Er 3.55-3.70
Y (0.8892, 0.1108, 0.6128)  4 Er 3.36-3.56, 3 Y 3.37-3.65
Y (0.9721, 0.0279, 0.3187)  2 Pm 3.18-3.43, 1 Y 3.37, 2 Er 3.48
Er (0.3694, 0.6306, 0.7857)  1 Th 3.30, 4 Y 3.36-3.70, 2 Pm 3.63
Er (0.3878, 0.6122, 0.3980)  9 Y 3.27-3.66, 1 Th 3.34
Er (0.6122, 0.3878, 0.8980)  9 Y 3.27-3.66, 1 Th 3.34
Er (0.6306, 0.3694, 0.2857)  1 Th 3.30, 4 Y 3.36-3.70, 2 Pm 3.63
Th (0.3107, 0.6893, 0.0994)  2 Er 3.30-3.34, 5 Y 3.41-3.53, 2 Pm 3.62
Th (0.6893, 0.3107, 0.5994)  2 Er 3.30-3.34, 5 Y 3.41-3.53, 2 Pm 3.62